*w*
V4RuW, optimized geometry, DFT PBE-GGA; density = 8.06 g/cm³; space group = C2/m (12)
1.0
3.599 -2.075 0.000
3.599 2.075 0.000
-2.387 0.000 6.739
V Ru W
4 1 1
Direct
0.123 0.123 0.370
0.373 0.373 0.119
0.627 0.627 0.881
0.877 0.877 0.630
0.000 0.000 0.000
0.500 0.500 0.500

***

*x*
V4RuW, optimized geometry, DFT PBE-GGA; density = 9.76 g/cm³; space group = Cmmm (65)
1.0
2.134 -4.548 0.000
2.134 4.548 0.000
0.000 0.000 4.283
V Ru W
4 1 1
Direct
0.167 0.833 0.000
0.331 0.669 0.500
0.669 0.331 0.500
0.833 0.167 0.000
0.500 0.500 0.000
0.000 0.000 0.500

***

Most favorable structure: *x*. The second most favorable one is 79.0 kJ/mol of atoms above it.

***

*w*
V6Ru2W, optimized geometry, DFT PBE-GGA; density = 9.24 g/cm³; space group = P-3m1 (164)
1.0
4.296 0.000 0.000
-2.148 3.721 0.000
0.000 0.000 7.780
V Ru W
6 2 1
Direct
0.000 0.000 0.162
0.000 0.000 0.838
0.333 0.667 0.387
0.333 0.667 0.728
0.667 0.333 0.272
0.667 0.333 0.613
0.333 0.667 0.069
0.667 0.333 0.931
0.000 0.000 0.500

***

*x*
V6Ru2W, optimized geometry, DFT PBE-GGA; density = 7.68 g/cm³; space group = C2/m (12)
1.0
6.501 -2.926 0.000
6.501 2.926 0.000
-1.316 0.000 3.928
V Ru W
6 2 1
Direct
0.080 0.584 0.332
0.246 0.754 0.000
0.416 0.920 0.668
0.584 0.080 0.332
0.754 0.246 0.000
0.920 0.416 0.668
0.167 0.167 0.168
0.833 0.833 0.832
0.500 0.500 0.500

***

Most favorable structure: *w*. The second most favorable one is 64.2 kJ/mol of atoms above it.

***

*w*
VZn2Ru2, optimized geometry, DFT PBE-GGA; density = 9.01 g/cm³; space group = P4/mbm (127)
1.0
6.776 0.000 0.000
0.000 6.776 0.000
0.000 0.000 3.083
V Zn Ru
2 4 4
Direct
0.000 0.000 0.000
0.500 0.500 0.000
0.126 0.374 0.000
0.374 0.874 0.000
0.626 0.126 0.000
0.874 0.626 0.000
0.174 0.674 0.500
0.326 0.174 0.500
0.674 0.826 0.500
0.826 0.326 0.500

***

*x*
VZn2Ru2, optimized geometry, DFT PBE-GGA; density = 8.66 g/cm³; space group = P4/mbm (127)
1.0
6.604 0.000 0.000
0.000 6.604 0.000
0.000 0.000 3.375
V Zn Ru
2 4 4
Direct
0.000 0.000 0.000
0.500 0.500 0.000
0.151 0.349 0.500
0.349 0.849 0.500
0.651 0.151 0.500
0.849 0.651 0.500
0.149 0.649 0.000
0.351 0.149 0.000
0.649 0.851 0.000
0.851 0.351 0.000

***

Most favorable structure: *w*. The second most favorable one is 2.6 kJ/mol of atoms above it.

***

*w*
V2ZnRu4, optimized geometry, DFT PBE-GGA; density = 9.32 g/cm³; space group = R-3m (166)
1.0
2.104 1.215 6.635
-2.104 1.215 6.635
0.000 -2.430 6.635
V Zn Ru
2 1 4
Direct
0.245 0.245 0.245
0.755 0.755 0.755
0.500 0.500 0.500
0.116 0.116 0.116
0.366 0.366 0.366
0.634 0.634 0.634
0.884 0.884 0.884

***

*x*
V2ZnRu4, optimized geometry, DFT PBE-GGA; density = 7.95 g/cm³; space group = I4/mmm (139)
1.0
-2.234 2.234 5.981
2.234 -2.234 5.981
2.234 2.234 -5.981
V Zn Ru
2 1 4
Direct
0.121 0.121 0.000
0.879 0.879 0.000
0.500 0.500 0.000
0.000 0.500 0.500
0.295 0.295 0.000
0.500 0.000 0.500
0.705 0.705 0.000

***

Most favorable structure: *w*. The second most favorable one is 90.7 kJ/mol of atoms above it.

***

*w*
ZrVRu, optimized geometry, DFT PBE-GGA; density = 8.18 g/cm³; space group = P-3m1 (164)
1.0
4.573 0.000 0.000
-2.287 3.960 0.000
0.000 0.000 5.456
Zr V Ru
2 2 2
Direct
0.333 0.667 0.323
0.667 0.333 0.677
0.000 0.000 0.000
0.000 0.000 0.500
0.333 0.667 0.833
0.667 0.333 0.167

***

*x*
ZrVRu, optimized geometry, DFT PBE-GGA; density = 8.22 g/cm³; space group = I4mm (107)
1.0
-1.561 1.561 5.038
1.561 -1.561 5.038
1.561 1.561 -5.038
Zr V Ru
1 1 1
Direct
0.000 0.000 0.000
0.319 0.319 0.000
0.679 0.679 0.000

***

Most favorable structure: *x*. The second most favorable one is 2.4 kJ/mol of atoms above it.

***

*w*
Zr2V3Ru, optimized geometry, DFT PBE-GGA; density = 7.25 g/cm³; space group = R-3m (166)
1.0
2.625 1.516 4.186
-2.625 1.516 4.186
0.000 -3.031 4.186
Zr V Ru
2 3 1
Direct
0.125 0.125 0.125
0.875 0.875 0.875
0.000 0.500 0.500
0.500 0.000 0.500
0.500 0.500 0.000
0.500 0.500 0.500

***

*x*
Zr2V3Ru, optimized geometry, DFT PBE-GGA; density = 7.25 g/cm³; space group = P6_3/mmc (194)
1.0
5.292 0.000 0.000
-2.646 4.583 0.000
0.000 0.000 8.247
Zr V Ru
4 6 2
Direct
0.333 0.667 0.060
0.333 0.667 0.440
0.667 0.333 0.560
0.667 0.333 0.940
0.169 0.338 0.750
0.169 0.831 0.750
0.338 0.169 0.250
0.662 0.831 0.750
0.831 0.169 0.250
0.831 0.662 0.250
0.000 0.000 0.000
0.000 0.000 0.500

***

Most favorable structure: *w*. The second most favorable one is 1.0 kJ/mol of atoms above it.

***

*w*
RuW2, optimized geometry, DFT PBE-GGA; density = 15.93 g/cm³; space group = Fd-3m (227)
1.0
0.000 3.656 3.656
3.656 0.000 3.656
3.656 3.656 0.000
Ru W
2 4
Direct
0.125 0.125 0.125
0.875 0.875 0.875
0.000 0.500 0.500
0.500 0.000 0.500
0.500 0.500 0.000
0.500 0.500 0.500

***

*x*
RuW2, optimized geometry, DFT PBE-GGA; density = 16.72 g/cm³; space group = I4_1/amd (141)
1.0
-1.959 1.959 12.126
1.959 -1.959 12.126
1.959 1.959 -12.126
Ru W
4 8
Direct
0.290 0.540 0.750
0.460 0.710 0.750
0.540 0.290 0.250
0.710 0.460 0.250
0.039 0.789 0.250
0.123 0.373 0.750
0.211 0.961 0.250
0.373 0.123 0.250
0.627 0.877 0.750
0.789 0.039 0.750
0.877 0.627 0.250
0.961 0.211 0.750

***

*y*
RuW2, optimized geometry, DFT PBE-GGA; density = 16.57 g/cm³; space group = I4/mmm (139)
1.0
-1.587 1.587 4.659
1.587 -1.587 4.659
1.587 1.587 -4.659
Ru W
1 2
Direct
0.000 0.000 0.000
0.328 0.328 0.000
0.672 0.672 0.000

***

*z*
RuW2, optimized geometry, DFT PBE-GGA; density = 16.75 g/cm³; space group = I4/mmm (139)
1.0
-1.384 1.384 6.060
1.384 -1.384 6.060
1.384 1.384 -6.060
Ru W
1 2
Direct
0.000 0.000 0.000
0.341 0.341 0.000
0.659 0.659 0.000

***

Most favorable structure: *z*. The second most favorable one is 4.6 kJ/mol of atoms above it.

***

*w*
Ru3W5, optimized geometry, DFT PBE-GGA; density = 16.19 g/cm³; space group = P-1 (2)
1.0
5.042 0.000 0.000
2.176 6.823 0.000
2.095 -0.308 7.290
Ru W
6 10
Direct
0.136 0.465 0.138
0.235 0.044 0.995
0.346 0.858 0.522
0.654 0.142 0.478
0.765 0.956 0.005
0.864 0.535 0.862
0.058 0.178 0.711
0.230 0.145 0.311
0.248 0.502 0.497
0.285 0.705 0.851
0.480 0.303 0.819
0.520 0.697 0.181
0.715 0.295 0.149
0.752 0.498 0.503
0.770 0.855 0.689
0.942 0.822 0.289

***

*x*
Ru3W5, optimized geometry, DFT PBE-GGA; density = 16.43 g/cm³; space group = Cmmm (65)
1.0
3.362 -4.258 0.000
3.362 4.258 0.000
0.000 0.000 4.317
Ru W
3 5
Direct
0.000 0.000 0.000
0.283 0.283 0.500
0.717 0.717 0.500
0.000 0.500 0.000
0.213 0.787 0.500
0.500 0.000 0.000
0.500 0.500 0.000
0.787 0.213 0.500

***

Most favorable structure: *x*. The second most favorable one is 10.4 kJ/mol of atoms above it.

***

*w*
Ru3W2, optimized geometry, DFT PBE-GGA; density = 14.88 g/cm³; space group = Fdd2 (43)
1.0
0.000 6.580 2.428
4.686 0.000 2.428
4.686 6.580 0.000
Ru W
6 4
Direct
0.000 0.000 0.000
0.250 0.250 0.250
0.365 0.672 0.440
0.672 0.365 0.522
0.728 0.810 0.578
0.810 0.728 0.885
0.145 0.473 0.958
0.292 0.825 0.105
0.473 0.145 0.425
0.825 0.292 0.777

***

*x*
Ru3W2, optimized geometry, DFT PBE-GGA; density = 14.93 g/cm³; space group = R-3m (166)
1.0
1.381 0.797 11.297
-1.381 0.797 11.297
0.000 -1.594 11.297
Ru W
3 2
Direct
0.000 0.000 0.000
0.200 0.200 0.200
0.800 0.800 0.800
0.401 0.401 0.401
0.599 0.599 0.599

***

Most favorable structure: *w*. The second most favorable one is 12.4 kJ/mol of atoms above it.

***

*w*
Ru4W3, optimized geometry, DFT PBE-GGA; density = 14.53 g/cm³; space group = P6/mmm (191)
1.0
5.092 0.000 0.000
-2.546 4.409 0.000
0.000 0.000 4.864
Ru W
4 3
Direct
0.000 0.000 0.240
0.000 0.000 0.760
0.333 0.667 0.000
0.667 0.333 0.000
0.000 0.500 0.500
0.500 0.000 0.500
0.500 0.500 0.500

***

*x*
Ru4W3, optimized geometry, DFT PBE-GGA; density = 14.78 g/cm³; space group = I4/mmm (139)
1.0
-1.586 1.586 10.676
1.586 -1.586 10.676
1.586 1.586 -10.676
Ru W
4 3
Direct
0.065 0.065 0.000
0.350 0.350 0.000
0.650 0.650 0.000
0.935 0.935 0.000
0.211 0.211 0.000
0.500 0.500 0.000
0.789 0.789 0.000

***

Most favorable structure: *x*. The second most favorable one is 13.0 kJ/mol of atoms above it.

***

*w*
Ru4W5, optimized geometry, DFT PBE-GGA; density = 15.98 g/cm³; space group = I4/mmm (139)
1.0
-4.209 4.209 1.941
4.209 -4.209 1.941
4.209 4.209 -1.941
Ru W
4 5
Direct
0.000 0.344 0.344
0.000 0.656 0.656
0.344 0.000 0.344
0.656 0.000 0.656
0.000 0.000 0.000
0.328 0.328 0.656
0.328 0.672 0.000
0.672 0.328 0.000
0.672 0.672 0.344

***

*x*
Ru4W5, optimized geometry, DFT PBE-GGA; density = 15.91 g/cm³; space group = P6_3/mcm (193)
1.0
7.677 0.000 0.000
-3.839 6.649 0.000
0.000 0.000 5.411
Ru W
8 10
Direct
0.000 0.000 0.000
0.000 0.000 0.500
0.000 0.327 0.250
0.000 0.673 0.750
0.327 0.000 0.250
0.327 0.327 0.750
0.673 0.000 0.750
0.673 0.673 0.250
0.000 0.335 0.750
0.000 0.665 0.250
0.333 0.667 0.000
0.333 0.667 0.500
0.335 0.000 0.750
0.335 0.335 0.250
0.665 0.000 0.250
0.665 0.665 0.750
0.667 0.333 0.000
0.667 0.333 0.500

***

Most favorable structure: *w*. The second most favorable one is 4.7 kJ/mol of atoms above it.